# NaUSn2Te4

NaUSn2Te4 after structural relaxation (PBE, the Alexandria database).

abc: 6.392 6.392 7.849
angles: 114.03 114.03 90.00
Positions (direct):
Te (0.994, 0.494, 0.989)
Sn (0.250, 0.750, 0.500)
Na (0.500, 0.500, 0.000)
Te (0.248, 0.248, 0.495)
Te (0.506, 0.006, 0.011)
U (0.750, 0.250, 0.500)
Sn (0.000, 0.000, 0.000)
Te (0.752, 0.752, 0.505)

Mass density in Mg/m³: 6.390
Energy relative to the elements, uncorrected in meV per atom: -473
SG: I-4m2, No. 119
D(E_F) in states/eV per cell: 5.90



# ErMgMnCd

ErMgMnCd after structural relaxation (PBE, the Alexandria database).

abc: 4.975 4.975 4.975
angles: 60.00 60.00 60.00
Positions (direct):
Mg (0.000, 0.000, 0.000)
Er (0.500, 0.500, 0.500)
Cd (0.750, 0.750, 0.750)
Mn (0.250, 0.250, 0.250)

Mass density in Mg/m³: 6.843
Formation enthalpy at 0 K in meV per atom: 44.1
SG: F-43m, No. 216
D(E_F) in states/eV per cell: 2.52